1.
# KAlHg (PBE-GGA, optimized geometry)
# Mass density   4.36 g/cm³
# E   -1.4421 eV/atom
# Distance to the lowest polymorph of the same formula   0.0000 eV/atom
data_KAlHg
_chemical_formula_sum 'K4 Al4 Hg4'
_symmetry_space_group_name_H-M 'F -4 3 m'
_symmetry_Int_Tables_number 216
_symmetry_space_group_name_Hall 'F -4 2 3'
_cell_length_a 7.408
_cell_length_b 7.408
_cell_length_c 7.408
_cell_angle_alpha 90.00
_cell_angle_beta 90.00
_cell_angle_gamma 90.00
loop_
_atom_site_label
_atom_site_fract_x
_atom_site_fract_y
_atom_site_fract_z
K1 0.000 0.000 0.000
Al1 0.000 0.000 0.500
Hg1 0.250 0.250 0.750

2.
# LaAl2Hg2 (PBE-GGA, optimized geometry)
# Mass density   8.53 g/cm³
# E   -2.9743 eV/atom
# Total magnetization   0.01 Bohr magnetons per cell
data_LaAl2Hg2
_chemical_formula_sum 'La2 Al4 Hg4'
_symmetry_space_group_name_H-M 'I 4/m m m'
_symmetry_Int_Tables_number 139
_symmetry_space_group_name_Hall '-I 4 2'
_cell_length_a 4.558
_cell_length_b 4.558
_cell_length_c 11.134
_cell_angle_alpha 90.00
_cell_angle_beta 90.00
_cell_angle_gamma 90.00
loop_
_atom_site_label
_atom_site_fract_x
_atom_site_fract_y
_atom_site_fract_z
La1 0.000 0.000 0.000
Al1 0.000 0.000 0.386
Hg1 0.000 0.500 0.250

3.
# LaAlHg2 (PBE-GGA, optimized geometry)
# Mass density   9.40 g/cm³
# E   -2.6918 eV/atom
# Total magnetization   0.01 Bohr magnetons per cell
data_LaAlHg2
_chemical_formula_sum 'La4 Al4 Hg8'
_symmetry_space_group_name_H-M 'A m a 2'
_symmetry_Int_Tables_number 40
_cell_length_a 4.932
_cell_length_b 11.835
_cell_length_c 6.864
_cell_angle_alpha 90.00
_cell_angle_beta 90.00
_cell_angle_gamma 90.00
loop_
_symmetry_equiv_pos_as_xyz
'x,y,z'
'-x,-y,z'
'-x+1/2,y,z'
'x+1/2,-y,z'
'x,y+1/2,z+1/2'
'-x,-y+1/2,z+1/2'
'-x+1/2,y+1/2,z+1/2'
'x+1/2,-y+1/2,z+1/2'
loop_
_atom_site_label
_atom_site_fract_x
_atom_site_fract_y
_atom_site_fract_z
La1 0.250 0.166 0.000
Al1 0.250 0.432 0.768
Hg1 0.250 0.156 0.479
Hg2 0.250 0.418 0.231

4.
# La2Al3Hg3 (PBE-GGA, optimized geometry)
# Mass density   8.16 g/cm³
# E   -3.1338 eV/atom
# Total magnetization   0.00 Bohr magnetons per cell
# Distance to the lowest polymorph of the same formula   0.0000 eV/atom
data_La2Al3Hg3
_chemical_formula_sum 'La2 Al3 Hg3'
_symmetry_space_group_name_H-M 'P -6 m 2'
_symmetry_Int_Tables_number 187
_symmetry_space_group_name_Hall 'P -6 2'
_cell_length_a 6.9309
_cell_length_b 6.9309
_cell_length_c 4.6993
_cell_angle_alpha 90.00
_cell_angle_beta 90.00
_cell_angle_gamma 120.00
loop_
_atom_site_label
_atom_site_fract_x
_atom_site_fract_y
_atom_site_fract_z
La1 0.0000 0.0000 0.0000
La2 0.3333 0.6667 0.5000
Al1 0.3946 0.1973 0.5000
Hg1 0.5123 0.0246 0.0000

5.
# La2Al3Hg3 (PBE-GGA, optimized geometry)
# Mass density   8.22 g/cm³
# E   -3.1068 eV/atom
# Total magnetization   0.00 Bohr magnetons per cell
# Distance to the lowest polymorph of the same formula   0.0270 eV/atom
data_La2Al3Hg3
_chemical_formula_sum 'La2 Al3 Hg3'
_symmetry_space_group_name_H-M 'P 1 m 1'
_symmetry_Int_Tables_number 6
_cell_length_a 6.816
_cell_length_b 4.783
_cell_length_c 6.822
_cell_angle_alpha 90.00
_cell_angle_beta 119.23
_cell_angle_gamma 90.00
loop_
_symmetry_equiv_pos_as_xyz
'x,y,z'
'x,-y,z'
loop_
_atom_site_label
_atom_site_fract_x
_atom_site_fract_y
_atom_site_fract_z
La1 0.000 0.000 0.000
La2 0.333 0.500 0.674
Al1 0.373 0.500 0.184
Al2 0.503 0.000 0.040
Al3 0.802 0.500 0.619
Hg1 0.505 0.000 0.484
Hg2 0.801 0.500 0.169
Hg3 0.978 0.000 0.503

6.
# La2Al3Hg3 (PBE-GGA, optimized geometry)
# Mass density   8.19 g/cm³
# E   -3.1170 eV/atom
# Total magnetization   0.01 Bohr magnetons per cell
# Distance to the lowest polymorph of the same formula   0.0168 eV/atom
data_La2Al3Hg3
_chemical_formula_sum 'La4 Al6 Hg6'
_symmetry_space_group_name_H-M 'A m m 2'
_symmetry_Int_Tables_number 38
_cell_length_a 4.777
_cell_length_b 6.803
_cell_length_c 11.986
_cell_angle_alpha 90.00
_cell_angle_beta 90.00
_cell_angle_gamma 90.00
loop_
_symmetry_equiv_pos_as_xyz
'x,y,z'
'-x,-y,z'
'-x,y,z'
'x,-y,z'
'x,y+1/2,z+1/2'
'-x,-y+1/2,z+1/2'
'-x,y+1/2,z+1/2'
'x,-y+1/2,z+1/2'
loop_
_atom_site_label
_atom_site_fract_x
_atom_site_fract_y
_atom_site_fract_z
La1 0.000 0.000 0.000
La2 0.500 0.000 0.343
Al1 0.000 0.000 0.524
Al2 0.500 0.210 0.593
Hg1 0.000 0.246 0.734
Hg2 0.500 0.000 0.821

7.
# La2AlHg5 (PBE-GGA, optimized geometry)
# Mass density   10.58 g/cm³
# E   -2.2813 eV/atom
# Total magnetization   0.01 Bohr magnetons per cell
data_La2AlHg5
_chemical_formula_sum 'La4 Al2 Hg10'
_symmetry_space_group_name_H-M 'A m m 2'
_symmetry_Int_Tables_number 38
_cell_length_a 5.036
_cell_length_b 6.858
_cell_length_c 11.888
_cell_angle_alpha 90.00
_cell_angle_beta 90.00
_cell_angle_gamma 90.00
loop_
_symmetry_equiv_pos_as_xyz
'x,y,z'
'-x,-y,z'
'-x,y,z'
'x,-y,z'
'x,y+1/2,z+1/2'
'-x,-y+1/2,z+1/2'
'-x,y+1/2,z+1/2'
'x,-y+1/2,z+1/2'
loop_
_atom_site_label
_atom_site_fract_x
_atom_site_fract_y
_atom_site_fract_z
La1 0.000 0.000 0.000
La2 0.500 0.000 0.331
Al1 0.500 0.000 0.812
Hg1 0.000 0.000 0.505
Hg2 0.000 0.232 0.754
Hg3 0.500 0.242 0.589

8.
# LaAlHg2 (PBE-GGA, optimized geometry)
# Mass density   9.40 g/cm³
# E   -2.6898 eV/atom
# Total magnetization   0.00 Bohr magnetons per cell
data_LaAlHg2
_chemical_formula_sum 'La4 Al4 Hg8'
_symmetry_space_group_name_H-M 'A m m 2'
_symmetry_Int_Tables_number 38
_cell_length_a 4.921
_cell_length_b 6.895
_cell_length_c 11.813
_cell_angle_alpha 90.00
_cell_angle_beta 90.00
_cell_angle_gamma 90.00
loop_
_symmetry_equiv_pos_as_xyz
'x,y,z'
'-x,-y,z'
'-x,y,z'
'x,-y,z'
'x,y+1/2,z+1/2'
'-x,-y+1/2,z+1/2'
'-x,y+1/2,z+1/2'
'x,-y+1/2,z+1/2'
loop_
_atom_site_label
_atom_site_fract_x
_atom_site_fract_y
_atom_site_fract_z
La1 0.000 0.000 0.000
La2 0.500 0.000 0.335
Al1 0.500 0.212 0.593
Hg1 0.000 0.000 0.509
Hg2 0.000 0.245 0.738
Hg3 0.500 0.000 0.823

Copy entry 4 word for word.
# La2Al3Hg3 (PBE-GGA, optimized geometry)
# Mass density   8.16 g/cm³
# E   -3.1338 eV/atom
# Total magnetization   0.00 Bohr magnetons per cell
# Distance to the lowest polymorph of the same formula   0.0000 eV/atom
data_La2Al3Hg3
_chemical_formula_sum 'La2 Al3 Hg3'
_symmetry_space_group_name_H-M 'P -6 m 2'
_symmetry_Int_Tables_number 187
_symmetry_space_group_name_Hall 'P -6 2'
_cell_length_a 6.9309
_cell_length_b 6.9309
_cell_length_c 4.6993
_cell_angle_alpha 90.00
_cell_angle_beta 90.00
_cell_angle_gamma 120.00
loop_
_atom_site_label
_atom_site_fract_x
_atom_site_fract_y
_atom_site_fract_z
La1 0.0000 0.0000 0.0000
La2 0.3333 0.6667 0.5000
Al1 0.3946 0.1973 0.5000
Hg1 0.5123 0.0246 0.0000

Q: Which of these has the lowest E?
A: number 4